Crystalline Na5Pu3O12 at its relaxed geometry. Source: the Alexandria database, functional PBE.

Calculated values
Space-group type: P-62m (189)
Energy above the most stable polymorph in this dataset: 0.0 meV/atom
DOS at the Fermi energy: 5.0 states/eV/cell
Raw formation energy: -2.283 eV/atom

Cell lengths 3.442, 9.770, 9.770 Å; angles 120.00, 90.00, 90.00 degrees
Each line ends with the local moment (μB).
Fractional positions:
Na: 0.000 0.333 0.667  0.00
Na: 0.000 0.667 0.333  0.00
Na: 0.000 0.291 0.000  0.00
Na: 0.000 0.709 0.709  0.00
Na: 0.000 0.000 0.291  0.00
Pu: 0.500 0.666 0.000  2.09
Pu: 0.500 0.334 0.334  2.09
Pu: 0.500 0.000 0.666  2.09
O: 0.000 0.799 0.000  -0.11
O: 0.000 0.201 0.201  -0.11
O: 0.000 0.000 0.799  -0.11
O: 0.000 0.534 0.000  -0.11
O: 0.000 0.466 0.466  -0.11
O: 0.000 0.000 0.534  -0.11
O: 0.500 0.218 0.441  -0.09
O: 0.500 0.224 0.782  -0.09
O: 0.500 0.782 0.224  -0.09
O: 0.500 0.559 0.776  -0.09
O: 0.500 0.776 0.559  -0.09
O: 0.500 0.441 0.218  -0.09

=====

Crystalline FeAgGe3 at its relaxed geometry. Source: the Alexandria database, functional PBE.

Calculated values
Space-group type: Pm-3m (221)
DOS at the Fermi energy: 3.9 states/eV/cell
E_form: 0.2806 eV per atom

Cell lengths 4.583, 4.583, 4.583 Å; angles 90.00, 90.00, 90.00 degrees
Each line ends with the local moment (μB).
Fractional positions:
Ge: 0.000 0.500 0.000  0.00
Ge: 0.000 0.000 0.500  0.06
Ge: 0.500 0.000 0.000  -0.02
Fe: 0.000 0.000 0.000  0.85
Ag: 0.500 0.500 0.500  0.00

=====

Crystalline ScOsCl2F at its relaxed geometry. Source: the Alexandria database, functional PBE.

Calculated values
Space-group type: P4/mmm (123)
DOS at the Fermi energy: 5.4 states/eV/cell
Raw formation energy: -0.063 eV/atom

Cell lengths 4.788, 5.614, 4.788 Å; angles 90.00, 90.00, 90.00 degrees
Each line ends with the local moment (μB).
Fractional positions:
Sc: 0.000 0.000 0.000  -0.12
F: 0.500 0.500 0.500  0.24
Os: 0.000 0.500 0.000  3.22
Cl: 0.000 0.000 0.500  0.03
Cl: 0.500 0.000 0.000  0.05

=====

Crystalline CePt3Au at its relaxed geometry. Source: the Alexandria database, functional PBE.

Calculated values
Space-group type: Cmcm (63)
DOS at the Fermi energy: 8.3 states/eV/cell
E_form: -0.5259 eV per atom

Cell lengths 5.317, 5.184, 7.836 Å; angles 90.00, 109.83, 90.00 degrees
Fractional positions:
Ce: 0.188 0.250 0.376
Ce: 0.812 0.750 0.624
Pt: 0.124 0.250 0.729
Pt: 0.606 0.250 0.729
Pt: 0.394 0.750 0.271
Pt: 0.876 0.750 0.271
Pt: 0.000 0.000 0.000
Pt: 0.000 0.500 0.000
Au: 0.557 0.250 0.115
Au: 0.443 0.750 0.885

=====

Crystalline Y2Mg3Cd3 at its relaxed geometry. Source: the Alexandria database, functional PBE.

Calculated values
Space-group type: R3m (160)
DOS at the Fermi energy: 2.9 states/eV/cell
E_form: -0.2707 eV per atom

Cell lengths 5.107, 5.107, 8.862 Å; angles 73.25, 73.25, 60.00 degrees
Fractional positions:
Y: 0.003 0.003 0.992
Y: 0.498 0.498 0.507
Mg: 0.249 0.249 0.253
Mg: 0.751 0.751 0.748
Mg: 0.624 0.624 0.128
Cd: 0.126 0.126 0.622
Cd: 0.878 0.878 0.365
Cd: 0.372 0.372 0.885

=====

Crystalline KGa3Br at its relaxed geometry. Source: the Alexandria database, functional PBE.

Calculated values
Space-group type: Pm-3m (221)
Energy above the most stable polymorph in this dataset: 572.8 meV/atom
DOS at the Fermi energy: 3.1 states/eV/cell
Raw formation energy: 0.743 eV/atom

Cell lengths 6.081, 6.081, 6.081 Å; angles 90.00, 90.00, 90.00 degrees
Fractional positions:
K: 0.000 0.000 0.000
Ga: 0.000 0.500 0.000
Ga: 0.000 0.000 0.500
Ga: 0.500 0.000 0.000
Br: 0.500 0.500 0.500

=====

Crystalline Ca2SmTm2Te6 at its relaxed geometry. Source: the Alexandria database, functional PBE.

Calculated values
Space-group type: C2/m (12)
DOS at the Fermi energy: 3.7 states/eV/cell
Raw formation energy: -1.475 eV/atom

Cell lengths 7.588, 7.588, 7.753 Å; angles 99.24, 99.24, 120.34 degrees
Fractional positions:
Ca: 0.837 0.163 0.000
Ca: 0.163 0.837 0.000
Sm: 0.000 0.000 0.500
Tm: 0.333 0.667 0.500
Tm: 0.667 0.333 0.500
Te: 0.735 0.735 0.745
Te: 0.082 0.421 0.743
Te: 0.265 0.265 0.255
Te: 0.421 0.082 0.743
Te: 0.918 0.579 0.257
Te: 0.579 0.918 0.257

=====

Crystalline YInIO2 at its relaxed geometry. Source: the Alexandria database, functional PBE.

Calculated values
Space-group type: P4/mmm (123)
Energy above the most stable polymorph in this dataset: 0.0 meV/atom
DOS at the Fermi energy: 6.2 states/eV/cell
Raw formation energy: -1.325 eV/atom

Cell lengths 4.456, 4.456, 6.203 Å; angles 90.00, 90.00, 90.00 degrees
Fractional positions:
I: 0.000 0.000 0.500
Y: 0.000 0.000 0.000
O: 0.000 0.500 0.000
O: 0.500 0.000 0.000
In: 0.500 0.500 0.500

=====

Crystalline ZrFeRh at its relaxed geometry. Source: the Alexandria database, functional PBE.

Calculated values
Space-group type: F-43m (216)
DOS at the Fermi energy: 5.5 states/eV/cell
E_form: 0.3712 eV per atom

Cell lengths 4.302, 4.302, 4.302 Å; angles 60.00, 60.00, 60.00 degrees
Each line ends with the local moment (μB).
Fractional positions:
Fe: 0.000 0.000 0.000  2.16
Rh: 0.500 0.500 0.500  0.20
Zr: 0.750 0.750 0.750  -0.31

=====

Crystalline LaNdSm2Th at its relaxed geometry. Source: the Alexandria database, functional PBE.

Calculated values
Space-group type: P2/c (13)
DOS at the Fermi energy: 14.5 states/eV/cell
E_form: 0.2834 eV per atom

Cell lengths 6.563, 8.704, 6.482 Å; angles 100.92, 90.00, 90.00 degrees
Fractional positions:
La: 0.000 0.000 0.000
La: 0.000 0.000 0.500
Nd: 0.164 0.500 0.750
Nd: 0.836 0.500 0.250
Sm: 0.673 0.686 0.815
Sm: 0.673 0.314 0.685
Sm: 0.327 0.686 0.315
Sm: 0.327 0.314 0.185
Th: 0.548 0.000 0.250
Th: 0.452 0.000 0.750

=====

Crystalline NaBiSb2O at its relaxed geometry. Source: the Alexandria database, functional PBE.

Calculated values
Space-group type: P4/mmm (123)
DOS at the Fermi energy: 4.7 states/eV/cell
Raw formation energy: 1.136 eV/atom

Cell lengths 5.259, 5.259, 5.459 Å; angles 90.00, 90.00, 90.00 degrees
Each line ends with the local moment (μB).
Fractional positions:
Sb: 0.000 0.500 0.000  0.07
Sb: 0.500 0.000 0.000  0.07
Bi: 0.000 0.000 0.500  0.03
O: 0.500 0.500 0.500  1.09
Na: 0.000 0.000 0.000  0.00

=====

Crystalline TbPmHg3 at its relaxed geometry. Source: the Alexandria database, functional PBE.

Calculated values
Space-group type: P2_1/m (11)
Energy above the most stable polymorph in this dataset: 32.6 meV/atom
DOS at the Fermi energy: 16.9 states/eV/cell
E_form: -0.3872 eV per atom

Cell lengths 7.242, 10.456, 9.334 Å; angles 47.78, 90.00, 90.00 degrees
Fractional positions:
Tb: 0.250 0.257 0.805
Tb: 0.750 0.743 0.195
Tb: 0.250 0.789 0.153
Tb: 0.750 0.211 0.847
Pm: 0.750 0.217 0.333
Pm: 0.750 0.749 0.685
Pm: 0.250 0.783 0.667
Pm: 0.250 0.251 0.315
Hg: 0.520 0.395 0.949
Hg: 0.997 0.998 0.758
Hg: 0.480 0.605 0.051
Hg: 0.003 0.002 0.242
Hg: 0.020 0.605 0.051
Hg: 0.497 0.002 0.242
Hg: 0.980 0.395 0.949
Hg: 0.503 0.998 0.758
Hg: 0.532 0.387 0.465
Hg: 0.032 0.613 0.535
Hg: 0.468 0.613 0.535
Hg: 0.968 0.387 0.465

=====

Crystalline CdFeRe at its relaxed geometry. Source: the Alexandria database, functional PBE.

Calculated values
Space-group type: P3m1 (156)
Energy above the most stable polymorph in this dataset: 48.2 meV/atom
DOS at the Fermi energy: 3.6 states/eV/cell
E_form: 0.3710 eV per atom

Cell lengths 2.788, 2.788, 6.868 Å; angles 90.00, 90.00, 120.00 degrees
Each line ends with the local moment (μB).
Fractional positions:
Cd: 0.000 0.000 0.012  -0.01
Fe: 0.667 0.333 0.355  1.74
Re: 0.333 0.667 0.634  -0.24

=====

Crystalline Pm2ThCu at its relaxed geometry. Source: the Alexandria database, functional PBE.

Calculated values
Space-group type: P4/mmm (123)
Energy above the most stable polymorph in this dataset: 0.0 meV/atom
DOS at the Fermi energy: 4.6 states/eV/cell
E_form: -0.0545 eV per atom

Cell lengths 3.612, 3.612, 8.475 Å; angles 90.00, 90.00, 90.00 degrees
Fractional positions:
Cu: 0.500 0.500 0.000
Th: 0.500 0.500 0.500
Pm: 0.000 0.000 0.792
Pm: 0.000 0.000 0.208

=====

Crystalline Si2AsIr at its relaxed geometry. Source: the Alexandria database, functional PBE.

Calculated values
Space-group type: I4/mmm (139)
DOS at the Fermi energy: 2.0 states/eV/cell
Raw formation energy: 0.247 eV/atom

Cell lengths 4.586, 4.586, 4.586 Å; angles 126.81, 126.81, 78.55 degrees
Fractional positions:
As: 0.250 0.750 0.500
Ir: 0.750 0.250 0.500
Si: 0.000 0.000 0.000
Si: 0.500 0.500 0.000

=====

Crystalline CaPm2Tl2 at its relaxed geometry. Source: the Alexandria database, functional PBE.

Calculated values
Space-group type: P4/mbm (127)
DOS at the Fermi energy: 13.0 states/eV/cell
E_form: -0.3319 eV per atom

Cell lengths 4.231, 8.630, 8.630 Å; angles 90.00, 90.00, 90.00 degrees
Fractional positions:
Ca: 0.000 0.000 0.000
Ca: 0.000 0.500 0.500
Pm: 0.500 0.170 0.670
Pm: 0.500 0.670 0.830
Pm: 0.500 0.830 0.330
Pm: 0.500 0.330 0.170
Tl: 0.000 0.370 0.870
Tl: 0.000 0.870 0.630
Tl: 0.000 0.630 0.130
Tl: 0.000 0.130 0.370

=====

Crystalline SrIn3Ir at its relaxed geometry. Source: the Alexandria database, functional PBE.

Calculated values
Space-group type: Pm-3m (221)
DOS at the Fermi energy: 2.7 states/eV/cell
E_form: -0.2246 eV per atom

Cell lengths 5.203, 5.203, 5.203 Å; angles 90.00, 90.00, 90.00 degrees
Fractional positions:
Sr: 0.500 0.500 0.500
Ir: 0.000 0.000 0.000
In: 0.000 0.500 0.000
In: 0.000 0.000 0.500
In: 0.500 0.000 0.000

=====

Crystalline DyHo6Sc8 at its relaxed geometry. Source: the Alexandria database, functional PBE.

Calculated values
Space-group type: R-3 (148)
DOS at the Fermi energy: 24.9 states/eV/cell
E_form: 0.1424 eV per atom

Cell lengths 8.557, 8.557, 8.239 Å; angles 58.72, 58.72, 60.00 degrees
Fractional positions:
Dy: 0.000 0.000 0.000
Ho: 0.461 0.895 0.869
Ho: 0.105 0.224 0.131
Ho: 0.224 0.539 0.131
Ho: 0.776 0.461 0.869
Ho: 0.895 0.776 0.869
Ho: 0.539 0.105 0.131
Sc: 0.716 0.111 0.428
Sc: 0.889 0.254 0.572
Sc: 0.254 0.284 0.572
Sc: 0.574 0.574 0.277
Sc: 0.426 0.426 0.723
Sc: 0.746 0.716 0.428
Sc: 0.111 0.746 0.428
Sc: 0.284 0.889 0.572

=====

Crystalline LaSiPd2Br at its relaxed geometry. Source: the Alexandria database, functional PBE.

Calculated values
Space-group type: P4/mmm (123)
DOS at the Fermi energy: 4.5 states/eV/cell
Raw formation energy: -0.513 eV/atom

Cell lengths 4.550, 5.989, 4.550 Å; angles 90.00, 90.00, 90.00 degrees
Fractional positions:
Si: 0.000 0.000 0.000
Br: 0.500 0.500 0.500
Pd: 0.000 0.000 0.500
Pd: 0.500 0.000 0.000
La: 0.000 0.500 0.000

=====

Crystalline Be6CuRh at its relaxed geometry. Source: the Alexandria database, functional PBE.

Calculated values
Space-group type: Pm-3 (200)
DOS at the Fermi energy: 2.2 states/eV/cell
E_form: -0.1116 eV per atom

Cell lengths 4.240, 4.240, 4.240 Å; angles 90.00, 90.00, 90.00 degrees
Fractional positions:
Be: 0.500 0.748 0.000
Be: 0.748 0.000 0.500
Be: 0.000 0.500 0.252
Be: 0.252 0.000 0.500
Be: 0.500 0.252 0.000
Be: 0.000 0.500 0.748
Cu: 0.000 0.000 0.000
Rh: 0.500 0.500 0.500